# 1
This record from Alexandria describes a geometry-optimized KNdS2 structure. The functional is PBEsol.

Structure (POSCAR):
```
KNdS2
1.0
4.135 0.000 0.000
-2.067 3.581 0.000
0.000 0.000 21.829
K Nd S
3 3 6
direct
0.000 0.000 0.000 K
0.333 0.667 0.667 K
0.667 0.333 0.333 K
0.000 0.000 0.500 Nd
0.333 0.667 0.167 Nd
0.667 0.333 0.833 Nd
0.000 0.000 0.236 S
0.000 0.000 0.764 S
0.333 0.667 0.430 S
0.333 0.667 0.903 S
0.667 0.333 0.097 S
0.667 0.333 0.570 S
```

- Uncorrected energy: -67.5 eV for the cell shown
- SG: R-3m, No. 166

# 2
This record from Alexandria describes a geometry-optimized KNdTe4 structure. The functional is PBEsol.

Structure (POSCAR):
```
KNdTe4
1.0
6.821 0.000 0.000
0.000 6.821 0.000
0.000 0.000 8.797
K Nd Te
2 2 8
direct
0.250 0.250 0.000 K
0.750 0.750 0.000 K
0.250 0.250 0.500 Nd
0.750 0.750 0.500 Nd
0.104 0.604 0.285 Te
0.104 0.896 0.715 Te
0.396 0.604 0.715 Te
0.396 0.896 0.285 Te
0.604 0.104 0.715 Te
0.604 0.396 0.285 Te
0.896 0.104 0.285 Te
0.896 0.396 0.715 Te
```

- Uncorrected energy: -52.1 eV for the cell shown
- SG: P4/nbm, No. 125